(1)
VASP calculation (PBE-GGA) on a relaxed structure of CrTc2HRu.

Structure (POSCAR):
```
CrTc2HRu
1.0
-2.744 1.988 -1.866
1.808 -0.655 -3.357
-2.030 -3.235 -0.462
Cr Tc H Ru
1 2 1 1
direct
0.500 0.500 0.500
0.000 0.500 0.000
0.500 0.000 0.000
0.000 0.000 0.000
0.000 0.000 0.500
```

Calculated values
polymorph energy (0 for the lowest one)	0.13	eV per formula unit

(2)
VASP calculation (PBE-GGA) on a relaxed structure of CrTc2HRu.

Structure (POSCAR):
```
CrTc2HRu
1.0
-0.612 -3.489 -1.552
3.787 -0.757 0.210
-0.488 -1.468 3.493
Cr Ru Tc H
1 1 2 1
direct
0.000 0.000 0.500
0.500 0.500 0.500
0.500 0.000 0.000
0.000 0.500 0.000
0.000 0.000 0.000
```

Calculated values
polymorph energy (0 for the lowest one)	0.00	eV per formula unit

(3)
VASP calculation (PBE-GGA) on a relaxed structure of ZnCrHRu2.

Structure (POSCAR):
```
ZnCrHRu2
1.0
3.913 0.000 0.000
0.000 3.913 0.000
0.000 0.000 3.753
Cr Zn Ru H
1 1 2 1
direct
0.000 0.000 0.500
0.500 0.500 0.500
0.500 0.000 0.000
0.000 0.500 0.000
0.000 0.000 0.000
```

Calculated values
calculated total energy	-32.2	eV for the cell shown

(4)
VASP calculation (PBE-GGA) on a relaxed structure of ZrCrHRu2.

Structure (POSCAR):
```
ZrCrHRu2
1.0
-3.903 0.184 -1.508
-1.504 -1.053 3.764
-0.188 3.563 0.922
Ru H Cr Zr
2 1 1 1
direct
0.500 0.000 0.000
0.000 0.500 0.000
0.000 0.000 0.000
0.000 0.000 0.500
0.500 0.500 0.500
```

Calculated values
calculated total energy	-40.7	eV for the cell shown

(5)
VASP calculation (PBE-GGA) on a relaxed structure of Cr2HS2.

Structure (POSCAR):
```
Cr2HS2
1.0
-2.432 4.467 4.250
-6.159 -1.963 -1.461
0.125 -2.052 2.228
S Cr H
4 4 2
direct
0.849 0.651 0.000
0.349 0.849 0.000
0.651 0.151 0.000
0.151 0.349 0.000
0.858 0.358 0.500
0.358 0.142 0.500
0.642 0.858 0.500
0.142 0.642 0.500
0.000 0.000 0.000
0.500 0.500 0.000
```

Calculated values
polymorph energy (0 for the lowest one)	0.89	eV per formula unit

(6)
VASP calculation (PBE-GGA) on a relaxed structure of CrH3S.

Structure (POSCAR):
```
CrH3S
1.0
-2.007 1.311 2.464
1.158 -2.370 2.205
2.539 2.118 0.942
Cr S H
1 1 3
direct
0.000 0.000 0.000
0.500 0.500 0.500
0.000 0.000 0.500
0.500 0.000 0.000
0.000 0.500 0.000
```

Calculated values
polymorph energy (0 for the lowest one)	0.00	eV per formula unit